Er2Ag8Hg | GGA-PBE | relaxed

a = 13.464 Å, b = 5.041 Å, c = 7.740 Å
α = 90.00°, β = 122.17°, γ = 90.00°
Space group C2/m (No. 12)
One atom of each set of equivalent atoms:
Er 0.224 0.000 0.299 [4 per cell]
Ag 0.046 0.000 0.857 [4 per cell]
Ag 0.079 0.500 0.225 [4 per cell]
Ag 0.131 0.000 0.580 [4 per cell]
Ag 0.189 0.500 0.993 [4 per cell]
Hg 0.000 0.500 0.500 [2 per cell]

Computed properties:
Formation energy (eV per atom): -0.131
Volume (Å³ per atom): 20.21